# 1
DFT (PBE) results for an optimized crystal structure of SrNbP2N6.

```
SrNbP2N6
1.0
-2.4402 3.0149 -2.9870
4.4025 -1.0939 -5.3396
-4.7860 -4.8518 -1.6262
N Sr P Nb
12 2 4 2
Direct
0.7411 0.7235 0.9872
0.3265 0.7413 0.3885
0.7589 0.0128 0.2765
0.3645 0.6048 0.7287
0.8645 0.7287 0.6048
0.6735 0.2587 0.6115
0.2411 0.9872 0.7235
0.6355 0.3952 0.2713
0.1355 0.2713 0.3952
0.2589 0.2765 0.0128
0.8265 0.3885 0.7413
0.1735 0.6115 0.2587
0.7500 0.0934 0.9066
0.2500 0.9066 0.0934
0.8010 0.2266 0.3800
0.6990 0.6200 0.7734
0.1990 0.7734 0.6200
0.3010 0.3800 0.2266
0.7500 0.7157 0.2843
0.2500 0.2843 0.7157
```

Density (g/cm3): 4.58
Formation energy without anion corrections (kJ per mole of atoms): -48.3
VASP energy (eV for the cell shown): -155.1
SG: No. 15

# 2
DFT (PBE) results for an optimized crystal structure of SrNb3P4N12.

```
SrNb3P4N12
1.0
-0.0440 2.7043 -6.1180
-5.2644 -4.1240 0.1510
-1.5508 5.0041 4.1592
N Sr Nb P
12 1 3 4
Direct
0.0266 0.6152 0.7663
0.0922 0.9078 0.5000
0.3848 0.9734 0.2337
0.2337 0.3848 0.9734
0.9078 0.5000 0.0922
0.5000 0.3499 0.6501
0.6501 0.5000 0.3499
0.5000 0.0922 0.9078
0.7663 0.0266 0.6152
0.6152 0.7663 0.0266
0.9734 0.2337 0.3848
0.3499 0.6501 0.5000
0.0000 0.0000 0.0000
0.5499 0.4501 0.0000
0.4501 0.0000 0.5499
0.0000 0.5499 0.4501
0.5000 0.5000 0.5000
0.9448 0.0552 0.5000
0.5000 0.9448 0.0552
0.0552 0.5000 0.9448
```

Density (g/cm3): 4.21
Formation energy without anion corrections (kJ per mole of atoms): -44.1
VASP energy (eV for the cell shown): -162.6
SG: No. 155

# 3
DFT (PBE) results for an optimized crystal structure of NbTePN2.

```
NbTePN2
1.0
-0.3884 -1.0185 -3.6606
1.7743 -3.3024 0.7306
-4.4712 -2.1642 1.0766
P N Nb Te
1 2 1 1
Direct
0.0000 0.0000 0.0000
0.0000 0.5000 0.0000
0.5000 0.0000 0.0000
0.5000 0.5000 0.5000
0.0000 0.0000 0.5000
```

Density (g/cm3): 6.26
Formation energy without anion corrections (kJ per mole of atoms): 132.3
Energy relative to the lowest polymorph listed for this composition (meV per atom): 729
VASP energy (eV for the cell shown): -28.4
SG: No. 123

Q: Number 3 is which compound?
A: NbTePN2

Repeat the third record exactly.
DFT (PBE) results for an optimized crystal structure of NbTePN2.

```
NbTePN2
1.0
-0.3884 -1.0185 -3.6606
1.7743 -3.3024 0.7306
-4.4712 -2.1642 1.0766
P N Nb Te
1 2 1 1
Direct
0.0000 0.0000 0.0000
0.0000 0.5000 0.0000
0.5000 0.0000 0.0000
0.5000 0.5000 0.5000
0.0000 0.0000 0.5000
```

Density (g/cm3): 6.26
Formation energy without anion corrections (kJ per mole of atoms): 132.3
Energy relative to the lowest polymorph listed for this composition (meV per atom): 729
VASP energy (eV for the cell shown): -28.4
SG: No. 123

Q: Which formula does entry 3 have?
A: NbTePN2